Entry 1:
Material: Ce2Pa2N5
Method: DFT, PBE-GGA
State: optimized geometry

```
data_Ce2Pa2N5
_chemical_formula_sum 'Ce8 Pa8 N20'
_cell_length_a 11.8039
_cell_length_b 6.6741
_cell_length_c 6.6605
_cell_angle_alpha 90.00
_cell_angle_beta 90.00
_cell_angle_gamma 90.00
_symmetry_space_group_name_H-M 'C m c e'
_symmetry_Int_Tables_number 64
_symmetry_space_group_name_Hall '-C 2ac 2'
loop_
_atom_site_label
_atom_site_fract_x
_atom_site_fract_y
_atom_site_fract_z
_atom_site_occupancy
Ce1 0.0000 0.1576 0.1634 1
Pa1 0.2031 0.0000 0.5000 1
N1 0.0000 0.0000 0.5000 1
N2 0.1458 0.1690 0.8592 1
```

Results
E (eV per atom): -9.416
DOS(E_F) (states/eV/atom): 1.32
Formation energy (no corrections) (meV/atom): -1362
Spin magnetization (Bohr magnetons per cell): 11.21

Entry 2:
Material: Ce2Pa3N8
Method: DFT, PBE-GGA
State: optimized geometry

```
data_Ce2Pa3N8
_chemical_formula_sum 'Ce2 Pa3 N8'
_cell_length_a 6.5472
_cell_length_b 3.7194
_cell_length_c 9.3756
_cell_angle_alpha 90.00
_cell_angle_beta 107.84
_cell_angle_gamma 90.00
_symmetry_space_group_name_H-M 'P 1 2/m 1'
_symmetry_Int_Tables_number 10
loop_
_symmetry_equiv_pos_as_xyz
'x,y,z'
'-x,-y,-z'
'-x,y,-z'
'x,-y,z'
loop_
_atom_site_label
_atom_site_fract_x
_atom_site_fract_y
_atom_site_fract_z
_atom_site_occupancy
Ce1 0.2438 0.0000 0.1753 1
Pa1 0.0000 0.0000 0.5000 1
Pa2 0.2611 0.5000 0.8294 1
N1 0.0571 0.5000 0.3575 1
N2 0.1266 0.0000 0.9161 1
N3 0.3096 0.0000 0.6901 1
N4 0.3787 0.5000 0.1054 1
```

Results
E (eV per atom): -9.624
DOS(E_F) (states/eV/atom): 0.74
Formation energy (no corrections) (meV/atom): -1397
Spin magnetization (Bohr magnetons per cell): 0.00
E above lowest polymorph (eV per atom): 0.000

Entry 3:
Material: CePa5N6
Method: DFT, PBE-GGA
State: optimized geometry

```
data_CePa5N6
_chemical_formula_sum 'Ce2 Pa10 N12'
_cell_length_a 6.0842
_cell_length_b 10.5313
_cell_length_c 6.0817
_cell_angle_alpha 90.00
_cell_angle_beta 109.45
_cell_angle_gamma 90.00
_symmetry_space_group_name_H-M 'C 1 2/m 1'
_symmetry_Int_Tables_number 12
loop_
_symmetry_equiv_pos_as_xyz
'x,y,z'
'-x,-y,-z'
'-x,y,-z'
'x,-y,z'
'x+1/2,y+1/2,z'
'-x+1/2,-y+1/2,-z'
'-x+1/2,y+1/2,-z'
'x+1/2,-y+1/2,z'
loop_
_atom_site_label
_atom_site_fract_x
_atom_site_fract_y
_atom_site_fract_z
_atom_site_occupancy
Ce1 0.0000 0.0000 0.0000 1
Pa1 0.0000 0.1645 0.5000 1
Pa2 0.0000 0.3330 0.0000 1
Pa3 0.0000 0.5000 0.5000 1
N1 0.2419 0.5000 0.2534 1
N2 0.2431 0.3289 0.7434 1
```

Results
E (eV per atom): -10.249
DOS(E_F) (states/eV/atom): 0.60
Formation energy (no corrections) (meV/atom): -1635
Spin magnetization (Bohr magnetons per cell): 0.00

Entry 4:
Material: CePaN2
Method: DFT, PBE-GGA
State: optimized geometry

```
data_CePaN2
_chemical_formula_sum 'Ce3 Pa3 N6'
_cell_length_a 3.4825
_cell_length_b 3.4825
_cell_length_c 18.1069
_cell_angle_alpha 90.00
_cell_angle_beta 90.00
_cell_angle_gamma 120.00
_symmetry_space_group_name_H-M 'R 3 m'
_symmetry_Int_Tables_number 160
_symmetry_space_group_name_Hall 'R 3 -2"'
loop_
_atom_site_label
_atom_site_fract_x
_atom_site_fract_y
_atom_site_fract_z
_atom_site_occupancy
Ce1 0.0000 0.0000 0.0000 1
Pa1 0.0000 0.0000 0.8243 1
N1 0.0000 0.0000 0.2331 1
N2 0.0000 0.0000 0.4175 1
```

Results
E (eV per atom): -9.405
DOS(E_F) (states/eV/atom): 1.06
Formation energy (no corrections) (meV/atom): -1385
Spin magnetization (Bohr magnetons per cell): 0.01

Please write out number 4 again, unchanged.
Material: CePaN2
Method: DFT, PBE-GGA
State: optimized geometry

```
data_CePaN2
_chemical_formula_sum 'Ce3 Pa3 N6'
_cell_length_a 3.4825
_cell_length_b 3.4825
_cell_length_c 18.1069
_cell_angle_alpha 90.00
_cell_angle_beta 90.00
_cell_angle_gamma 120.00
_symmetry_space_group_name_H-M 'R 3 m'
_symmetry_Int_Tables_number 160
_symmetry_space_group_name_Hall 'R 3 -2"'
loop_
_atom_site_label
_atom_site_fract_x
_atom_site_fract_y
_atom_site_fract_z
_atom_site_occupancy
Ce1 0.0000 0.0000 0.0000 1
Pa1 0.0000 0.0000 0.8243 1
N1 0.0000 0.0000 0.2331 1
N2 0.0000 0.0000 0.4175 1
```

Results
E (eV per atom): -9.405
DOS(E_F) (states/eV/atom): 1.06
Formation energy (no corrections) (meV/atom): -1385
Spin magnetization (Bohr magnetons per cell): 0.01

Q: Which formula does entry 2 have?
A: Ce2Pa3N8